# 1
Material: Cs2CaAlF6
Method: DFT, PBE-GGA
State: optimized geometry

Output
E_form (uncorrected) (eV/atom): -3.099
SG: P-3m1, No. 164
N(E_F) (states/eV per cell): 2.0

Unit cell a=6.8455 b=6.8455 c=6.0277 alpha=90.00 beta=90.00 gamma=120.00
Fractional coordinates of all 10 atoms:
Cs  0.3333  0.6667  0.1248
Cs  0.6667  0.3333  0.8752
Ca  0.0000  0.0000  0.5000
Al  0.0000  0.0000  0.0000
F  0.1230  0.2460  0.8131
F  0.1230  0.8770  0.8131
F  0.2460  0.1230  0.1869
F  0.7540  0.8770  0.8131
F  0.8770  0.1230  0.1869
F  0.8770  0.7540  0.1869

# 2
Material: Dy6AuSe4
Method: DFT, PBE-GGA
State: optimized geometry

Output
E_form (uncorrected) (eV/atom): -1.446
SG: Cmcm, No. 63
N(E_F) (states/eV per cell): 13.3

Unit cell a=6.9657 b=6.9657 c=20.7923 alpha=90.00 beta=90.00 gamma=146.55
Fractional coordinates of all 22 atoms:
Dy  0.0000  0.0000  0.0000
Dy  0.0000  0.0000  0.5000
Dy  0.1719  0.8281  0.7500
Dy  0.2728  0.7272  0.0908
Dy  0.2728  0.7272  0.4092
Dy  0.4426  0.5574  0.6667
Dy  0.4426  0.5574  0.8333
Dy  0.5574  0.4426  0.1667
Dy  0.5574  0.4426  0.3333
Dy  0.7272  0.2728  0.5908
Dy  0.7272  0.2728  0.9092
Dy  0.8281  0.1719  0.2500
Au  0.1649  0.8351  0.2500
Au  0.8351  0.1649  0.7500
Se  0.0845  0.9155  0.6249
Se  0.0845  0.9155  0.8751
Se  0.3590  0.6410  0.5383
Se  0.3590  0.6410  0.9617
Se  0.6410  0.3590  0.0383
Se  0.6410  0.3590  0.4617
Se  0.9155  0.0845  0.1249
Se  0.9155  0.0845  0.3751

# 3
Material: NbGaRh2S
Method: DFT, PBE-GGA
State: optimized geometry

Output
E_form (uncorrected) (eV/atom): 0.458
SG: P4/mmm, No. 123
N(E_F) (states/eV per cell): 6.9

Unit cell a=4.3102 b=4.3102 c=4.8185 alpha=90.00 beta=90.00 gamma=90.00
Fractional coordinates of all 5 atoms:
Nb  0.0000  0.0000  0.0000
Ga  0.5000  0.5000  0.0000
Rh  0.0000  0.5000  0.5000
Rh  0.5000  0.0000  0.5000
S  0.5000  0.5000  0.5000

# 4
Material: EuTlAgPb
Method: DFT, PBE-GGA
State: optimized geometry

Output
ΔH_f (0 K) (eV per atom): -0.233
SG: F-43m, No. 216
N(E_F) (states/eV per cell): 33.7

Unit cell a=7.6001 b=7.6001 c=7.6001 alpha=90.00 beta=90.00 gamma=90.00
Fractional coordinates of all 16 atoms:
Eu  0.0000  0.0000  0.0000
Eu  0.0000  0.5000  0.5000
Eu  0.5000  0.0000  0.5000
Eu  0.5000  0.5000  0.0000
Tl  0.2500  0.2500  0.7500
Tl  0.2500  0.7500  0.2500
Tl  0.7500  0.2500  0.2500
Tl  0.7500  0.7500  0.7500
Ag  0.2500  0.2500  0.2500
Ag  0.2500  0.7500  0.7500
Ag  0.7500  0.2500  0.7500
Ag  0.7500  0.7500  0.2500
Pb  0.0000  0.0000  0.5000
Pb  0.0000  0.5000  0.0000
Pb  0.5000  0.0000  0.0000
Pb  0.5000  0.5000  0.5000

# 5
Material: BaNa3Mn
Method: DFT, PBE-GGA
State: optimized geometry

Output
ΔH_f (0 K) (eV per atom): 0.527
SG: Pm-3m, No. 221
N(E_F) (states/eV per cell): 6.3

Unit cell a=5.8859 b=5.8859 c=5.8859 alpha=90.00 beta=90.00 gamma=90.00
Fractional coordinates of all 5 atoms:
Ba  0.0000  0.0000  0.0000
Na  0.0000  0.5000  0.5000
Na  0.5000  0.0000  0.5000
Na  0.5000  0.5000  0.0000
Mn  0.5000  0.5000  0.5000

# 6
Material: Ba2Y3Se6
Method: DFT, PBE-GGA
State: optimized geometry

Output
E_form (uncorrected) (eV/atom): -1.948
SG: C2/m, No. 12
N(E_F) (states/eV per cell): 3.6

Unit cell a=7.2745 b=7.2745 c=7.9339 alpha=98.78 beta=98.78 gamma=119.97
Fractional coordinates of all 11 atoms:
Ba  0.1670  0.8330  0.0000
Ba  0.8330  0.1670  0.0000
Y  0.0000  0.0000  0.5000
Y  0.3341  0.6659  0.5000
Y  0.6659  0.3341  0.5000
Se  0.0713  0.4038  0.7121
Se  0.2631  0.2631  0.2865
Se  0.4038  0.0713  0.7121
Se  0.5962  0.9287  0.2879
Se  0.7369  0.7369  0.7135
Se  0.9287  0.5962  0.2879

# 7
Material: ZrGaSeBr2
Method: DFT, PBE-GGA
State: optimized geometry

Output
E_form (uncorrected) (eV/atom): -0.718
SG: P4/mmm, No. 123
Offset from the most stable computed form (kJ/mol of formula units): 0
N(E_F) (states/eV per cell): 2.1

Unit cell a=5.3819 b=5.3819 c=5.2501 alpha=90.00 beta=90.00 gamma=90.00
Fractional coordinates of all 5 atoms:
Zr  0.0000  0.0000  0.0000
Ga  0.5000  0.5000  0.5000
Se  0.0000  0.0000  0.5000
Br  0.0000  0.5000  0.0000
Br  0.5000  0.0000  0.0000

# 8
Material: ZrHgS2
Method: DFT, PBE-GGA
State: optimized geometry

Output
E_form (uncorrected) (eV/atom): -0.952
SG: Pnma, No. 62
N(E_F) (states/eV per cell): 0.0

Unit cell a=7.5494 b=4.9821 c=11.4912 alpha=90.00 beta=90.00 gamma=90.00
Fractional coordinates of all 16 atoms:
Zr  0.0801  0.2500  0.1166
Zr  0.4199  0.7500  0.6166
Zr  0.5801  0.2500  0.3834
Zr  0.9199  0.7500  0.8834
Hg  0.1089  0.7500  0.4238
Hg  0.3911  0.2500  0.9238
Hg  0.6089  0.7500  0.0762
Hg  0.8911  0.2500  0.5762
S  0.1121  0.7500  0.0691
S  0.1383  0.7500  0.7349
S  0.3617  0.2500  0.2349
S  0.3879  0.2500  0.5691
S  0.6121  0.7500  0.4309
S  0.6383  0.7500  0.7651
S  0.8617  0.2500  0.2651
S  0.8879  0.2500  0.9309

# 9
Material: La7Nd2Y
Method: DFT, PBE-GGA
State: optimized geometry

Output
ΔH_f (0 K) (eV per atom): 0.551
SG: Cmmm, No. 65
Offset from the most stable computed form (kJ/mol of formula units): 234
N(E_F) (states/eV per cell): 17.1

Unit cell a=9.3424 b=9.3424 c=5.6368 alpha=90.00 beta=90.00 gamma=122.34
Fractional coordinates of all 10 atoms:
La  0.0000  0.0000  0.0000
La  0.1997  0.4268  0.0000
La  0.2596  0.7404  0.5000
La  0.4268  0.1997  0.0000
La  0.5732  0.8003  0.0000
La  0.7404  0.2596  0.5000
La  0.8003  0.5732  0.0000
Nd  0.2007  0.7993  0.0000
Nd  0.7993  0.2007  0.0000
Y  0.5000  0.5000  0.5000

# 10
Material: Pt2AuBr
Method: DFT, PBE-GGA
State: optimized geometry

Output
E_form (uncorrected) (eV/atom): 0.344
SG: Pmmm, No. 47
Offset from the most stable computed form (kJ/mol of formula units): 33
N(E_F) (states/eV per cell): 4.1

Unit cell a=3.0148 b=3.6268 c=6.9319 alpha=90.00 beta=90.00 gamma=90.00
Fractional coordinates of all 4 atoms:
Pt  0.0000  0.0000  0.2158
Pt  0.0000  0.0000  0.7842
Au  0.5000  0.5000  0.0000
Br  0.0000  0.5000  0.5000

# 11
Material: MgCu2Hg2
Method: DFT, PBE-GGA
State: optimized geometry

Output
ΔH_f (0 K) (eV per atom): 0.072
SG: I4/mmm, No. 139
Offset from the most stable computed form (kJ/mol of formula units): 18
N(E_F) (states/eV per cell): 3.3

Unit cell a=3.4153 b=3.4153 c=16.4679 alpha=90.00 beta=90.00 gamma=90.00
Fractional coordinates of all 10 atoms:
Mg  0.0000  0.0000  0.0000
Mg  0.5000  0.5000  0.5000
Cu  0.0000  0.5000  0.2500
Cu  0.0000  0.5000  0.7500
Cu  0.5000  0.0000  0.2500
Cu  0.5000  0.0000  0.7500
Hg  0.0000  0.0000  0.3854
Hg  0.0000  0.0000  0.6146
Hg  0.5000  0.5000  0.1146
Hg  0.5000  0.5000  0.8854

# 12
Material: Sm3Dy2TmTe6
Method: DFT, PBE-GGA
State: optimized geometry

Output
E_form (uncorrected) (eV/atom): -1.316
SG: C2/m, No. 12
N(E_F) (states/eV per cell): 6.2

Unit cell a=9.8511 b=9.8511 c=8.8572 alpha=103.96 beta=103.96 gamma=25.53
Fractional coordinates of all 12 atoms:
Sm  0.0000  0.0000  0.0000
Sm  0.3313  0.3313  0.6666
Sm  0.6687  0.6687  0.3334
Dy  0.3318  0.3318  0.1646
Dy  0.6682  0.6682  0.8354
Tm  0.0000  0.0000  0.5000
Te  0.1627  0.1627  0.5865
Te  0.1677  0.1677  0.0787
Te  0.4986  0.4986  0.2580
Te  0.5014  0.5014  0.7420
Te  0.8323  0.8323  0.9213
Te  0.8373  0.8373  0.4135

# 13
Material: Tb2ScB2Rh5
Method: DFT, PBE-GGA
State: optimized geometry

Output
ΔH_f (0 K) (eV per atom): -0.834
SG: P4/mbm, No. 127
N(E_F) (states/eV per cell): 6.7

Unit cell a=9.7281 b=9.7281 c=3.2063 alpha=90.00 beta=90.00 gamma=90.00
Fractional coordinates of all 20 atoms:
Tb  0.1752  0.3248  0.0000
Tb  0.3248  0.8248  0.0000
Tb  0.6752  0.1752  0.0000
Tb  0.8248  0.6752  0.0000
Sc  0.0000  0.0000  0.0000
Sc  0.5000  0.5000  0.0000
B  0.1220  0.6220  0.0000
B  0.3780  0.1220  0.0000
B  0.6220  0.8780  0.0000
B  0.8780  0.3780  0.0000
Rh  0.0000  0.5000  0.5000
Rh  0.0706  0.7741  0.5000
Rh  0.2259  0.0706  0.5000
Rh  0.2741  0.5706  0.5000
Rh  0.4294  0.2741  0.5000
Rh  0.5000  0.0000  0.5000
Rh  0.5706  0.7259  0.5000
Rh  0.7259  0.4294  0.5000
Rh  0.7741  0.9294  0.5000
Rh  0.9294  0.2259  0.5000

# 14
Material: TlP2SBr
Method: DFT, PBE-GGA
State: optimized geometry

Output
E_form (uncorrected) (eV/atom): 1.290
SG: P4/mmm, No. 123
Offset from the most stable computed form (kJ/mol of formula units): 388
N(E_F) (states/eV per cell): 6.0

Unit cell a=5.3384 b=5.3384 c=5.0561 alpha=90.00 beta=90.00 gamma=90.00
Fractional coordinates of all 5 atoms:
Tl  0.0000  0.0000  0.0000
P  0.0000  0.5000  0.0000
P  0.5000  0.0000  0.0000
S  0.0000  0.0000  0.5000
Br  0.5000  0.5000  0.5000

# 15
Material: MgCoRu2
Method: DFT, PBE-GGA
State: optimized geometry

Output
ΔH_f (0 K) (eV per atom): 0.233
SG: I4/mmm, No. 139
N(E_F) (states/eV per cell): 9.2

Unit cell a=3.7279 b=3.7279 c=7.8448 alpha=90.00 beta=90.00 gamma=90.00
Fractional coordinates of all 8 atoms:
Mg  0.0000  0.0000  0.0000
Mg  0.5000  0.5000  0.5000
Co  0.0000  0.0000  0.5000
Co  0.5000  0.5000  0.0000
Ru  0.0000  0.5000  0.2500
Ru  0.0000  0.5000  0.7500
Ru  0.5000  0.0000  0.2500
Ru  0.5000  0.0000  0.7500

# 16
Material: CeSc2Cd4
Method: DFT, PBE-GGA
State: optimized geometry

Output
ΔH_f (0 K) (eV per atom): -0.025
SG: P4/mmm, No. 123
N(E_F) (states/eV per cell): 11.8

Unit cell a=5.0654 b=5.0654 c=7.1650 alpha=90.00 beta=90.00 gamma=90.00
Fractional coordinates of all 7 atoms:
Ce  0.0000  0.0000  0.0000
Sc  0.0000  0.0000  0.5000
Sc  0.5000  0.5000  0.0000
Cd  0.0000  0.5000  0.2796
Cd  0.0000  0.5000  0.7204
Cd  0.5000  0.0000  0.2796
Cd  0.5000  0.0000  0.7204

# 17
Material: Er2Tm2ZnGa4
Method: DFT, PBE-GGA
State: optimized geometry

Output
ΔH_f (0 K) (eV per atom): -0.258
SG: I4/mmm, No. 139
N(E_F) (states/eV per cell): 6.9

Unit cell a=6.5164 b=6.5164 c=6.5164 alpha=116.16 beta=116.16 gamma=96.79
Fractional coordinates of all 9 atoms:
Er  0.1881  0.1881  0.0000
Er  0.8119  0.8119  0.0000
Tm  0.2500  0.7500  0.5000
Tm  0.7500  0.2500  0.5000
Zn  0.5000  0.5000  0.0000
Ga  0.2522  0.2522  0.5044
Ga  0.2522  0.7478  0.0000
Ga  0.7478  0.2522  0.0000
Ga  0.7478  0.7478  0.4956

# 18
Material: AgBi2MoPb
Method: DFT, PBE-GGA
State: optimized geometry

Output
ΔH_f (0 K) (eV per atom): 1.475
SG: P4/mmm, No. 123
N(E_F) (states/eV per cell): 4.2

Unit cell a=5.9410 b=5.9410 c=5.1515 alpha=90.00 beta=90.00 gamma=90.00
Fractional coordinates of all 5 atoms:
Ag  0.0000  0.0000  0.0000
Bi  0.0000  0.5000  0.5000
Bi  0.5000  0.0000  0.5000
Mo  0.5000  0.5000  0.0000
Pb  0.0000  0.0000  0.5000

# 19
Material: Au12Se5I3
Method: DFT, PBE-GGA
State: optimized geometry

Output
E_form (uncorrected) (eV/atom): 0.207
SG: Ia-3d, No. 230
N(E_F) (states/eV per cell): 41.5

Unit cell a=14.0051 b=14.0051 c=14.0051 alpha=109.47 beta=109.47 gamma=109.47
Fractional coordinates of all 80 atoms:
Au  0.0290  0.2147  0.0920
Au  0.0290  0.3143  0.9370
Au  0.0630  0.5920  0.3773
Au  0.0630  0.9710  0.6857
Au  0.0920  0.0290  0.2147
Au  0.0920  0.5630  0.8773
Au  0.1227  0.7147  0.6857
Au  0.1227  0.9080  0.4370
Au  0.1857  0.2147  0.6227
Au  0.1857  0.4710  0.5630
Au  0.2147  0.0920  0.0290
Au  0.2147  0.6227  0.1857
Au  0.2853  0.3143  0.8773
Au  0.2853  0.4710  0.4080
Au  0.3143  0.8773  0.2853
Au  0.3143  0.9370  0.0290
Au  0.3773  0.0630  0.5920
Au  0.3773  0.8143  0.7853
Au  0.4080  0.2853  0.4710
Au  0.4080  0.6227  0.9370
Au  0.4370  0.1227  0.9080
Au  0.4370  0.8143  0.5290
Au  0.4710  0.4080  0.2853
Au  0.4710  0.5630  0.1857
Au  0.5290  0.4370  0.8143
Au  0.5290  0.5920  0.7147
Au  0.5630  0.1857  0.4710
Au  0.5630  0.8773  0.0920
Au  0.5920  0.3773  0.0630
Au  0.5920  0.7147  0.5290
Au  0.6227  0.1857  0.2147
Au  0.6227  0.9370  0.4080
Au  0.6857  0.0630  0.9710
Au  0.6857  0.1227  0.7147
Au  0.7147  0.5290  0.5920
Au  0.7147  0.6857  0.1227
Au  0.7853  0.3773  0.8143
Au  0.7853  0.9080  0.9710
Au  0.8143  0.5290  0.4370
Au  0.8143  0.7853  0.3773
Au  0.8773  0.0920  0.5630
Au  0.8773  0.2853  0.3143
Au  0.9080  0.4370  0.1227
Au  0.9080  0.9710  0.7853
Au  0.9370  0.0290  0.3143
Au  0.9370  0.4080  0.6227
Au  0.9710  0.6857  0.0630
Au  0.9710  0.7853  0.9080
Se  0.0000  0.0000  0.0000
Se  0.0000  0.0000  0.5000
Se  0.0000  0.5000  0.0000
Se  0.0000  0.5000  0.5000
Se  0.1250  0.7500  0.8750
Se  0.1250  0.8750  0.2500
Se  0.2500  0.1250  0.8750
Se  0.2500  0.6250  0.3750
Se  0.3750  0.2500  0.6250
Se  0.3750  0.6250  0.7500
Se  0.5000  0.0000  0.0000
Se  0.5000  0.0000  0.5000
Se  0.5000  0.5000  0.0000
Se  0.5000  0.5000  0.5000
Se  0.6250  0.3750  0.2500
Se  0.6250  0.7500  0.3750
Se  0.7500  0.3750  0.6250
Se  0.7500  0.8750  0.1250
Se  0.8750  0.1250  0.7500
Se  0.8750  0.2500  0.1250
I  0.1250  0.2500  0.3750
I  0.1250  0.3750  0.7500
I  0.2500  0.3750  0.1250
I  0.2500  0.8750  0.6250
I  0.3750  0.1250  0.2500
I  0.3750  0.7500  0.1250
I  0.6250  0.2500  0.8750
I  0.6250  0.8750  0.7500
I  0.7500  0.1250  0.3750
I  0.7500  0.6250  0.8750
I  0.8750  0.6250  0.2500
I  0.8750  0.7500  0.6250

# 20
Material: Cr2InSb
Method: DFT, PBE-GGA
State: optimized geometry

Output
E_form (uncorrected) (eV/atom): 0.227
SG: P4mm, No. 99
Offset from the most stable computed form (kJ/mol of formula units): 0
N(E_F) (states/eV per cell): 2.2

Unit cell a=3.0714 b=3.0714 c=8.0934 alpha=90.00 beta=90.00 gamma=90.00
Fractional coordinates of all 4 atoms:
Cr  0.0000  0.0000  0.0000
Cr  0.5000  0.5000  0.1467
In  0.0000  0.0000  0.3818
Sb  0.5000  0.5000  0.7749